A plane-wave DFT calculation with GGA-PBE was carried out for a relaxed ScZnCu2H crystal.

* final energy: -3.93 eV per atom

Unit cell a=4.0163 b=4.0163 c=3.9754 alpha=90.00 beta=90.00 gamma=90.00
With the nearest neighbours (Å) after each atom.
Space group P4/mmm (No. 123)
Asymmetric unit:
Sc1 0.0000 0.0000 0.0000 [1 per cell]  2 H 1.99
Zn1 0.5000 0.5000 0.0000 [1 per cell]  8 Cu 2.83, 4 Sc 2.84
Cu1 0.0000 0.5000 0.5000 [2 per cell]  2 H 2.01
H1 0.0000 0.0000 0.5000 [1 per cell]  2 Sc 1.99, 4 Cu 2.01